Below is a geometry-optimized SnPb2S4 structure, with properties calculated at the PBE-GGA level.

Summary:
Formation energy (no corrections) (eV per atom): -0.391
ρ (g/cm³): 5.7
Final energy (eV per atom): -4.380
Energy above the lowest structure with this stoichiometry (meV per atom): 51.2
SG: P2_1/m

Cell: 7.065 6.987 8.244 Å, 90.00 107.55 90.00°
Fractional coordinates of all 14 atoms:
Pb  0.739  0.750  0.060
Pb  0.726  0.750  0.558
Pb  0.274  0.250  0.442
Pb  0.261  0.250  0.940
S  0.943  0.250  0.094
S  0.504  0.510  0.735
S  0.952  0.250  0.623
S  0.057  0.750  0.906
S  0.504  0.990  0.735
S  0.496  0.010  0.265
S  0.048  0.750  0.377
S  0.496  0.490  0.265
Sn  0.258  0.750  0.198
Sn  0.742  0.250  0.802